Below is a relaxed structure of SrTeBr6, with properties calculated at the PBE level.

Output
As for the polymorph energy (0 for the lowest one): 0 meV/atom. Its raw formation energy is -7.69 eV/f.u. The calculated total energy is -2.819 eV per atom. As for the magnetization: 0.0 μB/f.u.

a = 7.288 Å, b = 13.118 Å, c = 7.196 Å
α = 90.00°, β = 106.80°, γ = 90.00°
Space group C2/m (No. 12)
Symmetry-distinct sites (fractional):
Sr 0.000 0.000 0.000 [2 per cell]
Te 0.000 0.500 0.500 [2 per cell]
Br 0.218 0.351 0.731 [8 per cell]
Br 0.244 0.500 0.277 [4 per cell]



Below is a relaxed structure of Sr4Te3Br2, with properties calculated at the PBE level.

Output
Its raw formation energy is -16.53 eV/f.u. The calculated total energy is -4.003 eV per atom. As for the magnetization: 0.0 μB/f.u.

a = 15.807 Å, b = 4.702 Å, c = 11.862 Å
α = 90.00°, β = 124.28°, γ = 90.00°
Space group C2/m (No. 12)
Symmetry-distinct sites (fractional):
Sr 0.098 0.000 0.398 [4 per cell]
Sr 0.225 0.500 0.802 [4 per cell]
Te 0.000 0.500 0.500 [2 per cell]
Te 0.184 0.500 0.291 [4 per cell]
Br 0.129 0.000 0.877 [4 per cell]



Below is a relaxed structure of SrTeBr6, with properties calculated at the PBE level.

Output
As for the polymorph energy (0 for the lowest one): 2 meV/atom. Its raw formation energy is -7.67 eV/f.u. The calculated total energy is -2.816 eV per atom. As for the magnetization: 0.0 μB/f.u.

a = 7.1426 Å, b = 7.1426 Å, c = 19.7450 Å
α = 90.00°, β = 90.00°, γ = 120.00°
Space group R-3 (No. 148, hexagonal axes)
Symmetry-distinct sites (fractional):
Sr 0.0000 0.0000 0.0000 [3 per cell]
Te 0.0000 0.0000 0.5000 [3 per cell]
Br 0.0053 0.6397 0.0876 [18 per cell]



Below is a relaxed structure of Sr4TeBr6, with properties calculated at the PBE level.

Output
Its raw formation energy is -22.14 eV/f.u. The calculated total energy is -3.822 eV per atom. As for the magnetization: 0.1 μB/f.u.

a = 10.565 Å, b = 10.565 Å, c = 7.470 Å
α = 90.00°, β = 90.00°, γ = 90.00°
Space group P4_2/nmc (No. 137, origin choice 2)
Symmetry-distinct sites (fractional):
Sr 0.012 0.250 0.040 [8 per cell]
Te 0.250 0.750 0.750 [2 per cell]
Br 0.036 0.536 0.250 [8 per cell]
Br 0.250 0.250 0.292 [4 per cell]



Below is a relaxed structure of SrTeBr, with properties calculated at the PBE level.

Output
As for the polymorph energy (0 for the lowest one): 437 meV/atom. Its raw formation energy is -3.57 eV/f.u. The calculated total energy is -3.354 eV per atom. As for the magnetization: 1.0 μB/f.u.

a = 7.736 Å, b = 7.736 Å, c = 7.736 Å
α = 90.00°, β = 90.00°, γ = 90.00°
Space group F-43m (No. 216)
Symmetry-distinct sites (fractional):
Sr 0.000 0.000 0.000 [4 per cell]
Te 0.250 0.250 0.250 [4 per cell]
Br 0.250 0.250 0.750 [4 per cell]



Below is a relaxed structure of SrTeBr, with properties calculated at the PBE level.

Output
As for the polymorph energy (0 for the lowest one): 0 meV/atom. Its raw formation energy is -4.88 eV/f.u. The calculated total energy is -3.791 eV per atom. As for the magnetization: 0.0 μB/f.u.

a = 16.578 Å, b = 4.445 Å, c = 6.063 Å
α = 90.00°, β = 111.39°, γ = 90.00°
Space group C2/m (No. 12)
Symmetry-distinct sites (fractional):
Sr 0.142 0.000 0.143 [4 per cell]
Te 0.000 0.500 0.253 [4 per cell]
Br 0.217 0.000 0.717 [4 per cell]



Below is a relaxed structure of SrTlTeBr, with properties calculated at the PBE level.

Output
As for the polymorph energy (0 for the lowest one): 133 meV/atom. Its raw formation energy is -4.81 eV/f.u. The calculated total energy is -3.419 eV per atom. As for the magnetization: 0.0 μB/f.u.

a = 8.066 Å, b = 8.066 Å, c = 8.066 Å
α = 90.00°, β = 90.00°, γ = 90.00°
Space group F-43m (No. 216)
Symmetry-distinct sites (fractional):
Sr 0.000 0.000 0.000 [4 per cell]
Tl 0.000 0.000 0.500 [4 per cell]
Te 0.250 0.250 0.250 [4 per cell]
Br 0.250 0.250 0.750 [4 per cell]



Below is a relaxed structure of SrTlTeBr, with properties calculated at the PBE level.

Output
As for the polymorph energy (0 for the lowest one): 0 meV/atom. Its raw formation energy is -5.34 eV/f.u. The calculated total energy is -3.552 eV per atom. As for the magnetization: 0.0 μB/f.u.

a = 4.6928 Å, b = 4.6928 Å, c = 25.0387 Å
α = 90.00°, β = 90.00°, γ = 120.00°
Space group R3m (No. 160, hexagonal axes)
Symmetry-distinct sites (fractional):
Sr 0.0000 0.0000 0.0000 [3 per cell]
Tl 0.0000 0.0000 0.5162 [3 per cell]
Te 0.0000 0.0000 0.2581 [3 per cell]
Br 0.0000 0.0000 0.7320 [3 per cell]



Below is a relaxed structure of Sr2TlTeBr, with properties calculated at the PBE level.

Output
Its raw formation energy is -2.93 eV/f.u. The calculated total energy is -2.695 eV per atom. As for the magnetization: 0.0 μB/f.u.

a = 6.266 Å, b = 6.266 Å, c = 6.452 Å
α = 90.00°, β = 90.00°, γ = 90.00°
Space group P4/mmm (No. 123)
Symmetry-distinct sites (fractional):
Sr 0.000 0.500 0.000 [2 per cell]
Tl 0.000 0.000 0.500 [1 per cell]
Te 0.000 0.000 0.000 [1 per cell]
Br 0.500 0.500 0.500 [1 per cell]



Below is a relaxed structure of SrVTeBr2, with properties calculated at the PBE level.

Output
Its raw formation energy is -4.91 eV/f.u. The calculated total energy is -4.439 eV per atom. As for the magnetization: 3.0 μB/f.u.

a = 5.127 Å, b = 5.127 Å, c = 5.740 Å
α = 90.00°, β = 90.00°, γ = 90.00°
Space group P4/mmm (No. 123)
Symmetry-distinct sites (fractional):
Sr 0.000 0.000 0.000 [1 per cell]
V 0.500 0.500 0.500 [1 per cell]
Te 0.500 0.500 0.000 [1 per cell]
Br 0.000 0.500 0.500 [2 per cell]



Below is a relaxed structure of Sr2TeWBr, with properties calculated at the PBE level.

Output
Its raw formation energy is 1.06 eV/f.u. The calculated total energy is -4.014 eV per atom. As for the magnetization: 2.2 μB/f.u.

a = 6.358 Å, b = 6.358 Å, c = 4.989 Å
α = 90.00°, β = 90.00°, γ = 90.00°
Space group P4/mmm (No. 123)
Symmetry-distinct sites (fractional):
Sr 0.000 0.500 0.000 [2 per cell]
Te 0.000 0.000 0.000 [1 per cell]
W 0.000 0.000 0.500 [1 per cell]
Br 0.500 0.500 0.500 [1 per cell]



Below is a relaxed structure of SrThBr6, with properties calculated at the PBE level.

Output
As for the polymorph energy (0 for the lowest one): 3 meV/atom. Its raw formation energy is -14.87 eV/f.u. The calculated total energy is -4.252 eV per atom. As for the magnetization: 0.0 μB/f.u.

a = 7.381 Å, b = 7.393 Å, c = 8.030 Å
α = 90.00°, β = 117.35°, γ = 119.93°
Space group P-1 (No. 2)
Symmetry-distinct sites (fractional):
Sr 0.000 0.000 0.000 [1 per cell]
Th 0.000 0.500 0.500 [1 per cell]
Br 0.156 0.421 0.258 [2 per cell]
Br 0.164 0.267 0.742 [2 per cell]
Br 0.475 0.897 0.740 [2 per cell]